Entry 1:
A plane-wave DFT calculation with PBE was carried out for a relaxed structure of CsKRe2.

Properties
- formation energy from the elements (eV/atom) = 3.0180
- VASP energy (eV per atom) = -3.69
- symmetry = Fm-3m (225)
- calculated volume (Å³ per atom) = 26.71

Unit cell a=5.3263 b=5.3263 c=5.3263 alpha=60.00 beta=60.00 gamma=60.00
Fractional coordinates of all 4 atoms:
1 K 0.0000 0.0000 0.0000
2 Re 0.7500 0.7500 0.7500
3 Re 0.2500 0.2500 0.2500
4 Cs 0.5000 0.5000 0.5000

---

Entry 2:
A plane-wave DFT calculation with PBE was carried out for a relaxed structure of SmEuHgPb.

Properties
- formation energy from the elements (eV/atom) = -0.5148
- VASP energy (eV per atom) = -5.27
- symmetry = F-43m (216)
- calculated volume (Å³ per atom) = 29.53

Unit cell a=5.5073 b=5.5073 c=5.5073 alpha=60.00 beta=60.00 gamma=60.00
Fractional coordinates of all 4 atoms:
1 Eu 0.0000 0.0000 0.0000
2 Pb 0.7500 0.7500 0.7500
3 Hg 0.2500 0.2500 0.2500
4 Sm 0.5000 0.5000 0.5000

---

Entry 3:
A plane-wave DFT calculation with PBE was carried out for a relaxed structure of Tl4SeCl2.

Properties
- energy above the most stable polymorph in this dataset (eV per formula unit) = 2.43
- VASP energy (eV per atom) = -2.74
- symmetry = I4/mmm (139)
- calculated volume (Å³ per atom) = 49.35
- formation energy from raw total energies (eV per atom) = -0.362

Unit cell a=5.6733 b=5.6733 c=11.4584 alpha=75.67 beta=75.67 gamma=90.00
Fractional coordinates of all 7 atoms:
1 Tl 0.5000 0.0000 0.0000
2 Tl 0.0000 0.5000 0.0000
3 Tl 0.3188 0.3188 0.3624
4 Tl 0.6812 0.6812 0.6376
5 Se 0.0000 0.0000 0.0000
6 Cl 0.1931 0.1931 0.6139
7 Cl 0.8069 0.8069 0.3861

---

Entry 4:
A plane-wave DFT calculation with PBE was carried out for a relaxed structure of DyPb2F11.

Properties
- VASP energy (eV per atom) = -4.83
- symmetry = Ibam (72)
- calculated volume (Å³ per atom) = 15.73
- formation energy from raw total energies (eV per atom) = -2.505

Unit cell a=8.0252 b=8.4293 c=8.4293 alpha=74.39 beta=61.57 gamma=61.57
Fractional coordinates of all 28 atoms:
1 F 0.5905 0.2078 0.0642
2 F 0.1375 0.0642 0.2078
3 F 0.9095 0.4358 0.2922
4 F 0.3724 0.7105 0.2895
5 F 0.6276 0.2895 0.7105
6 F 0.1276 0.2105 0.7895
7 F 0.8724 0.7895 0.2105
8 F 0.6375 0.7078 0.5642
9 F 0.2404 0.5348 0.1801
10 F 0.5448 0.0348 0.6801
11 F 0.0448 0.1801 0.5348
12 F 0.5000 0.5000 0.5000
13 F 0.0000 0.0000 0.0000
14 F 0.2596 0.3199 0.9652
15 F 0.3625 0.2922 0.4358
16 F 0.9552 0.8199 0.4652
17 F 0.7596 0.4652 0.8199
18 F 0.4095 0.7922 0.9358
19 F 0.7404 0.6801 0.0348
20 F 0.8625 0.9358 0.7922
21 F 0.4552 0.9652 0.3199
22 F 0.0905 0.5642 0.7078
23 Dy 0.2500 0.2500 0.2500
24 Dy 0.7500 0.7500 0.7500
25 Pb 0.3580 0.3177 0.6823
26 Pb 0.1420 0.8177 0.1823
27 Pb 0.6420 0.6823 0.3177
28 Pb 0.8580 0.1823 0.8177

---

Entry 5:
A plane-wave DFT calculation with PBE was carried out for a relaxed structure of K4Sr2SnAs4.

Properties
- energy above the most stable polymorph in this dataset (eV per formula unit) = 0.12
- formation energy from the elements (eV/atom) = -0.6792
- VASP energy (eV per atom) = -3.44
- symmetry = Cc (9)
- calculated volume (Å³ per atom) = 33.80

Unit cell a=10.5141 b=10.5141 c=7.7576 alpha=88.16 beta=88.16 gamma=119.68
Fractional coordinates of all 22 atoms:
1 As 0.6472 0.3317 0.1514
2 As 0.7987 0.6124 0.5829
3 As 0.8080 0.2030 0.6072
4 As 0.2030 0.8080 0.1072
5 As 0.3317 0.6472 0.6514
6 As 0.2054 0.3919 0.1408
7 As 0.3919 0.2054 0.6408
8 As 0.6124 0.7987 0.0829
9 K 0.1438 0.8501 0.6923
10 K 0.1310 0.2769 0.7312
11 K 0.8619 0.7142 0.1646
12 K 0.8501 0.1438 0.1923
13 K 0.9482 0.4789 0.8808
14 K 0.4789 0.9482 0.3808
15 K 0.7142 0.8619 0.6646
16 K 0.2769 0.1310 0.2312
17 Sr 0.4790 0.5277 0.3775
18 Sr 0.0628 0.5288 0.3883
19 Sr 0.5277 0.4790 0.8775
20 Sr 0.5288 0.0628 0.8883
21 Sn 0.3337 0.6646 0.9970
22 Sn 0.6646 0.3337 0.4970

---

Entry 6:
A plane-wave DFT calculation with PBE was carried out for a relaxed structure of BeZnIn2.

Properties
- formation energy from the elements (eV/atom) = 0.4122
- VASP energy (eV per atom) = -2.21
- symmetry = I-4m2 (119)
- calculated volume (Å³ per atom) = 19.16

Unit cell a=5.2849 b=5.2849 c=5.2849 alpha=133.37 beta=133.37 gamma=68.08
Fractional coordinates of all 4 atoms:
1 Zn 0.5000 0.5000 0.0000
2 Be 0.7500 0.2500 0.5000
3 In 0.0000 0.0000 0.0000
4 In 0.2500 0.7500 0.5000

---

Entry 7:
A plane-wave DFT calculation with PBE was carried out for a relaxed structure of Mn2FeAgRu.

Properties
- formation energy from the elements (eV/atom) = 1.4894
- VASP energy (eV per atom) = -6.30
- symmetry = P4/mmm (123)
- calculated volume (Å³ per atom) = 20.47

Unit cell a=4.4938 b=5.0694 c=4.4938 alpha=90.00 beta=90.00 gamma=90.00
Fractional coordinates of all 5 atoms:
1 Ru 0.0000 0.0000 0.0000
2 Mn 0.5000 0.0000 0.0000
3 Mn 0.0000 0.0000 0.5000
4 Fe 0.5000 0.5000 0.5000
5 Ag 0.0000 0.5000 0.0000

---

Entry 8:
A plane-wave DFT calculation with PBE was carried out for a relaxed structure of Na2SmEu.

Properties
- formation energy from the elements (eV/atom) = 0.2622
- VASP energy (eV per atom) = -4.15
- symmetry = R-3m (166)
- calculated volume (Å³ per atom) = 37.36

Unit cell a=3.5699 b=3.5699 c=13.6966 alpha=82.51 beta=82.51 gamma=60.00
Fractional coordinates of all 4 atoms:
1 Na 0.0850 0.0850 0.7449
2 Na 0.9150 0.9150 0.2551
3 Sm 0.0000 0.0000 0.0000
4 Eu 0.5000 0.5000 0.5000

---

Entry 9:
A plane-wave DFT calculation with PBE was carried out for a relaxed structure of CeSiPt3.

Properties
- energy above the most stable polymorph in this dataset (eV per formula unit) = 0.80
- VASP energy (eV per atom) = -6.81
- symmetry = Imma (74)
- calculated volume (Å³ per atom) = 19.45
- formation energy from raw total energies (eV per atom) = -0.912

Unit cell a=5.4726 b=8.1728 c=6.5649 alpha=128.50 beta=114.63 gamma=90.00
Fractional coordinates of all 10 atoms:
1 Pt 0.2427 0.7427 0.9855
2 Pt 0.2573 0.2573 0.0145
3 Pt 0.2500 0.8809 0.5000
4 Pt 0.7500 0.1191 0.5000
5 Pt 0.7427 0.7427 0.9855
6 Pt 0.7573 0.2573 0.0145
7 Si 0.0000 0.5000 0.0000
8 Si 0.5000 0.0000 0.0000
9 Ce 0.2500 0.2887 0.5000
10 Ce 0.7500 0.7113 0.5000

---

Entry 10:
A plane-wave DFT calculation with PBE was carried out for a relaxed structure of SnCNO2.

Properties
- VASP energy (eV per atom) = -5.40
- symmetry = P4/mmm (123)
- calculated volume (Å³ per atom) = 8.73
- formation energy from raw total energies (eV per atom) = 0.893

Unit cell a=3.4448 b=3.4448 c=3.6801 alpha=90.00 beta=90.00 gamma=90.00
Fractional coordinates of all 5 atoms:
1 C 0.0000 0.0000 0.0000
2 Sn 0.5000 0.5000 0.5000
3 O 0.5000 0.0000 0.0000
4 O 0.0000 0.5000 0.0000
5 N 0.0000 0.0000 0.5000

---

Entry 11:
A plane-wave DFT calculation with PBE was carried out for a relaxed structure of CeTm2Cd3.

Properties
- formation energy from the elements (eV/atom) = -0.2450
- VASP energy (eV per atom) = -3.18
- symmetry = P4/mmm (123)
- calculated volume (Å³ per atom) = 26.13

Unit cell a=3.6685 b=3.6685 c=11.6496 alpha=90.00 beta=90.00 gamma=90.00
Fractional coordinates of all 6 atoms:
1 Ce 0.5000 0.5000 0.5000
2 Cd 0.0000 0.0000 0.3162
3 Cd 0.0000 0.0000 0.6838
4 Cd 0.0000 0.0000 0.0000
5 Tm 0.5000 0.5000 0.8406
6 Tm 0.5000 0.5000 0.1594

---

Entry 12:
A plane-wave DFT calculation with PBE was carried out for a relaxed structure of InAsPt.

Properties
- formation energy from the elements (eV/atom) = -0.1421
- VASP energy (eV per atom) = -4.62
- symmetry = P-1 (2)
- calculated volume (Å³ per atom) = 21.44

Unit cell a=3.8642 b=4.8086 c=13.5214 alpha=122.00 beta=114.88 gamma=37.13
Fractional coordinates of all 6 atoms:
1 In 0.9908 0.4596 0.8068
2 In 0.0092 0.5404 0.1932
3 Pt 0.9940 0.1389 0.9266
4 Pt 0.0060 0.8611 0.0734
5 As 0.7657 0.8891 0.4269
6 As 0.2343 0.1109 0.5731